No. 1
! Sr2In3Hg GGA-PBE relaxed; values from VASP
&SYSTEM
  ibrav = 0, nat = 12, ntyp = 3
/
ATOMIC_SPECIES
Sr 87.62 Sr.upf
In 114.82 In.upf
Hg 200.59 Hg.upf
CELL_PARAMETERS angstrom
-0.0396 -2.2308 -6.1078
5.2237 -3.8686 -0.1729
-7.5644 -3.7771 5.6659
ATOMIC_POSITIONS crystal
Sr 0.7500 0.2500 0.5000
Sr 0.7434 0.2566 0.0000
Sr 0.2500 0.7500 0.5000
Sr 0.2566 0.7434 0.0000
In 0.8349 0.8349 0.1675
In 0.6674 0.6674 0.8325
In 0.1651 0.1651 0.8325
In 0.3326 0.3326 0.1675
In 0.1671 0.1671 0.3341
In 0.8329 0.8329 0.6659
Hg 0.6670 0.6670 0.3340
Hg 0.3330 0.3330 0.6660
! Space group: Fmmm, No. 69
! Energy relative to the elements, meV/atom: -441
! ρ, g/cm3: 6.6
! V, A^3/atom: 30.27

=====

No. 2
! Sr2In2Hg GGA-PBE relaxed; values from VASP
&SYSTEM
  ibrav = 0, nat = 5, ntyp = 3
/
ATOMIC_SPECIES
Sr 87.62 Sr.upf
In 114.82 In.upf
Hg 200.59 Hg.upf
CELL_PARAMETERS angstrom
-1.2408 2.2960 -2.9947
0.3876 -3.8953 -3.1471
-7.6814 -0.0602 3.1365
ATOMIC_POSITIONS crystal
Sr 0.0000 0.6895 0.3790
Sr 0.0000 0.9272 0.8544
In 0.5000 0.3087 0.6175
In 0.5000 0.5067 0.0134
Hg 0.5000 0.1100 0.2199
! Space group: Amm2, No. 38
! Energy relative to the elements, meV/atom: -418
! ρ, g/cm3: 6.4
! V, A^3/atom: 31.56

=====

No. 3
! Sr2In6Hg GGA-PBE relaxed; values from VASP
&SYSTEM
  ibrav = 0, nat = 9, ntyp = 3
/
ATOMIC_SPECIES
Sr 87.62 Sr.upf
In 114.82 In.upf
Hg 200.59 Hg.upf
CELL_PARAMETERS angstrom
0.5820 2.2460 -4.6005
5.2779 -3.3784 -0.9817
-7.4965 -5.5335 -0.7685
ATOMIC_POSITIONS crystal
Sr 0.8895 0.3899 0.7798
Sr 0.1105 0.6101 0.2202
In 0.7007 0.9580 0.4010
In 0.2993 0.0420 0.5990
In 0.2993 0.5570 0.5990
In 0.5000 0.2506 0.0000
In 0.5000 0.7494 0.0000
In 0.7007 0.4430 0.4010
Hg 0.0000 0.0000 0.0000
! Space group: Immm, No. 71
! Energy relative to the elements, meV/atom: -205
! ρ, g/cm3: 6.4
! V, A^3/atom: 30.54

=====

For each record above, in turn, the calculated total magnetic moment values are 0.000 0.000 0.000 μB per atom.